No. 1
# Ce2Th3In PBE relaxed
# offset from the most stable computed form = 59.3 meV per atom
# electronic total energy = -73.61 eV for the cell shown
# E_form = 0.0105 eV per atom
data_Ce2Th3In
_symmetry_space_group_name_H-M 'P 1 21/m 1'
_symmetry_Int_Tables_number 11
_cell_length_a 8.372
_cell_length_b 3.412
_cell_length_c 12.808
_cell_angle_alpha 90.00
_cell_angle_beta 102.64
_cell_angle_gamma 90.00
loop_
_symmetry_equiv_pos_as_xyz
'x,y,z'
'-x,-y,-z'
'-x,y+1/2,-z'
'x,-y+1/2,z'
loop_
_atom_site_label
_atom_site_fract_x
_atom_site_fract_y
_atom_site_fract_z
_atom_site_occupancy
Ce1 0.024 0.250 0.128 1
Ce2 0.338 0.750 0.561 1
Th1 0.018 0.250 0.379 1
Th2 0.333 0.750 0.024 1
Th3 0.344 0.750 0.294 1
In1 0.298 0.250 0.790 1

---

No. 2
# Ce3Th2In3 PBE relaxed
# electronic total energy = -84.30 eV for the cell shown
# E_form = -0.1615 eV per atom
data_Ce3Th2In3
_symmetry_space_group_name_H-M 'P 1 21/m 1'
_symmetry_Int_Tables_number 11
_cell_length_a 5.590
_cell_length_b 14.209
_cell_length_c 5.982
_cell_angle_alpha 90.00
_cell_angle_beta 106.98
_cell_angle_gamma 90.00
loop_
_symmetry_equiv_pos_as_xyz
'x,y,z'
'-x,-y,-z'
'-x,y+1/2,-z'
'x,-y+1/2,z'
loop_
_atom_site_label
_atom_site_fract_x
_atom_site_fract_y
_atom_site_fract_z
_atom_site_occupancy
Ce1 0.145 0.250 0.180 1
Ce2 0.169 0.514 0.208 1
Th1 0.249 0.128 0.710 1
In1 0.268 0.750 0.350 1
In2 0.321 0.610 0.752 1

---

No. 3
# Ce4Th2In PBE relaxed
# electronic total energy = -157.52 eV for the cell shown
# E_form = 0.2764 eV per atom
data_Ce4Th2In
_symmetry_space_group_name_H-M 'F m m 2'
_symmetry_Int_Tables_number 42
_symmetry_space_group_name_Hall 'F 2 -2'
_cell_length_a 6.687
_cell_length_b 11.110
_cell_length_c 11.110
_cell_angle_alpha 90.00
_cell_angle_beta 90.00
_cell_angle_gamma 90.00
loop_
_atom_site_label
_atom_site_fract_x
_atom_site_fract_y
_atom_site_fract_z
_atom_site_occupancy
Ce1 0.000 0.000 0.000 1
Ce2 0.000 0.000 0.356 1
Ce3 0.000 0.178 0.178 1
Th1 0.250 0.250 0.428 1
In1 0.000 0.000 0.678 1

---

No. 4
# CeTmThIn PBE relaxed
# offset from the most stable computed form = 162.8 meV per atom
# electronic total energy = -82.70 eV for the cell shown
# E_form = -0.0276 eV per atom
data_CeTmThIn
_symmetry_space_group_name_H-M 'F -4 3 m'
_symmetry_Int_Tables_number 216
_symmetry_space_group_name_Hall 'F -4 2 3'
_cell_length_a 7.690
_cell_length_b 7.690
_cell_length_c 7.690
_cell_angle_alpha 90.00
_cell_angle_beta 90.00
_cell_angle_gamma 90.00
loop_
_atom_site_label
_atom_site_fract_x
_atom_site_fract_y
_atom_site_fract_z
_atom_site_occupancy
Ce1 0.000 0.000 0.000 1
Tm1 0.000 0.000 0.500 1
Th1 0.250 0.250 0.750 1
In1 0.250 0.250 0.250 1

---

No. 5
# CeTmThIn PBE relaxed
# offset from the most stable computed form = 0.0 meV per atom
# electronic total energy = -21.33 eV for the cell shown
# E_form = -0.1904 eV per atom
data_CeTmThIn
_symmetry_space_group_name_H-M 'P m m m'
_symmetry_Int_Tables_number 47
_cell_length_a 4.635
_cell_length_b 4.767
_cell_length_c 5.108
_cell_angle_alpha 90.00
_cell_angle_beta 90.00
_cell_angle_gamma 90.00
loop_
_symmetry_equiv_pos_as_xyz
'x,y,z'
'-x,-y,-z'
'-x,-y,z'
'x,y,-z'
'x,-y,-z'
'-x,y,z'
'-x,y,-z'
'x,-y,z'
loop_
_atom_site_label
_atom_site_fract_x
_atom_site_fract_y
_atom_site_fract_z
_atom_site_occupancy
Ce1 0.000 0.000 0.000 1
Tm1 0.500 0.000 0.500 1
Th1 0.500 0.500 0.000 1
In1 0.000 0.500 0.500 1

---

No. 6
# CeYThIn PBE relaxed
# electronic total energy = -90.85 eV for the cell shown
# E_form = -0.0388 eV per atom
data_CeYThIn
_symmetry_space_group_name_H-M 'F -4 3 m'
_symmetry_Int_Tables_number 216
_symmetry_space_group_name_Hall 'F -4 2 3'
_cell_length_a 7.737
_cell_length_b 7.737
_cell_length_c 7.737
_cell_angle_alpha 90.00
_cell_angle_beta 90.00
_cell_angle_gamma 90.00
loop_
_atom_site_label
_atom_site_fract_x
_atom_site_fract_y
_atom_site_fract_z
_atom_site_occupancy
Ce1 0.000 0.000 0.000 1
Y1 0.000 0.000 0.500 1
Th1 0.250 0.250 0.750 1
In1 0.250 0.250 0.250 1

---

No. 7
# Ce2ThZn2In2 PBE relaxed
# electronic total energy = -86.44 eV for the cell shown
# E_form = -0.2142 eV per atom
data_Ce2ThZn2In2
_symmetry_space_group_name_H-M 'R -3 m'
_symmetry_Int_Tables_number 166
_symmetry_space_group_name_Hall '-R 3 2"'
_cell_length_a 4.5452
_cell_length_b 4.5452
_cell_length_c 28.7767
_cell_angle_alpha 90.00
_cell_angle_beta 90.00
_cell_angle_gamma 120.00
loop_
_atom_site_label
_atom_site_fract_x
_atom_site_fract_y
_atom_site_fract_z
_atom_site_occupancy
Ce1 0.0000 0.0000 0.1436 1
Th1 0.0000 0.0000 0.0000 1
Zn1 0.0000 0.0000 0.4012 1
In1 0.0000 0.0000 0.2607 1

---

No. 8
# CeTiIn2 PBE relaxed
# electronic total energy = -20.24 eV for the cell shown
# E_form = -0.2324 eV per atom
data_CeTiIn2
_symmetry_space_group_name_H-M 'P 4/m m m'
_symmetry_Int_Tables_number 123
_symmetry_space_group_name_Hall '-P 4 2'
_cell_length_a 3.135
_cell_length_b 3.135
_cell_length_c 9.132
_cell_angle_alpha 90.00
_cell_angle_beta 90.00
_cell_angle_gamma 90.00
loop_
_atom_site_label
_atom_site_fract_x
_atom_site_fract_y
_atom_site_fract_z
_atom_site_occupancy
Ce1 0.000 0.000 0.000 1
Ti1 0.000 0.000 0.500 1
In1 0.500 0.500 0.279 1